[1]
Below is a geometry-optimized Te2Ir structure, with properties calculated at the PBE level.

## Properties
Spin magnetization   0.00 μB/cell
Symmetry   Pnma
Electronic total energy   -5.34 eV per atom

a = 22.881 Å, b = 4.067 Å, c = 6.457 Å
α = 90.00°, β = 90.00°, γ = 90.00°
Atoms (fractional coordinates):
Ir1 0.194 0.750 0.061
Ir2 0.424 0.750 0.068
Ir3 0.924 0.750 0.432
Ir4 0.694 0.750 0.439
Ir5 0.306 0.250 0.561
Ir6 0.076 0.250 0.568
Ir7 0.576 0.250 0.932
Ir8 0.806 0.250 0.939
Te1 0.878 0.750 0.051
Te2 0.636 0.750 0.077
Te3 0.259 0.250 0.189
Te4 0.491 0.250 0.221
Te5 0.991 0.250 0.279
Te6 0.759 0.250 0.311
Te7 0.136 0.750 0.423
Te8 0.378 0.750 0.449
Te9 0.622 0.250 0.551
Te10 0.864 0.250 0.577
Te11 0.241 0.750 0.689
Te12 0.009 0.750 0.721
Te13 0.509 0.750 0.779
Te14 0.741 0.750 0.811
Te15 0.364 0.250 0.923
Te16 0.122 0.250 0.949

---

[2]
Below is a geometry-optimized Te2Ir structure, with properties calculated at the PBE level.

## Properties
Spin magnetization   4.37 μB/cell
Symmetry   Fd-3m
Electronic total energy   -4.34 eV per atom

a = 8.232 Å, b = 8.232 Å, c = 8.232 Å
α = 60.00°, β = 60.00°, γ = 60.00°
Site moments in Bohr magnetons follow the coordinates.
Atoms (fractional coordinates):
Ir1 0.125 0.125 0.125  0.78
Ir2 0.875 0.875 0.875  0.78
Te1 0.000 0.000 0.000  0.35
Te2 0.500 0.000 0.000  0.48
Te3 0.000 0.500 0.000  0.34
Te4 0.000 0.000 0.500  0.33

---

[3]
Below is a geometry-optimized TeIr10 structure, with properties calculated at the PBE level.

## Properties
Spin magnetization   0.00 μB/cell
Symmetry   C2/m
Electronic total energy   -8.27 eV per atom

a = 4.706 Å, b = 4.706 Å, c = 30.884 Å
α = 90.11°, β = 90.11°, γ = 48.47°
Atoms (fractional coordinates):
Ir1 0.847 0.847 0.234
Ir2 0.545 0.545 0.262
Ir3 0.252 0.252 0.291
Ir4 0.951 0.951 0.318
Ir5 0.651 0.651 0.346
Ir6 0.351 0.351 0.374
Ir7 0.051 0.051 0.402
Ir8 0.750 0.750 0.430
Ir9 0.450 0.450 0.458
Ir10 0.150 0.150 0.486
Ir11 0.850 0.850 0.514
Ir12 0.550 0.550 0.542
Ir13 0.250 0.250 0.570
Ir14 0.949 0.949 0.598
Ir15 0.649 0.649 0.626
Ir16 0.349 0.349 0.654
Ir17 0.049 0.049 0.682
Ir18 0.748 0.748 0.709
Ir19 0.455 0.455 0.738
Ir20 0.153 0.153 0.766
Te1 0.157 0.157 0.199
Te2 0.843 0.843 0.801

---

[4]
Below is a geometry-optimized Te2Ir structure, with properties calculated at the PBE level.

## Properties
Spin magnetization   0.01 μB/cell
Symmetry   Pmn2_1
Electronic total energy   -5.27 eV per atom

a = 3.850 Å, b = 6.795 Å, c = 11.908 Å
α = 90.00°, β = 90.00°, γ = 90.00°
Atoms (fractional coordinates):
Ir1 0.500 0.033 0.007
Ir2 0.000 0.532 0.008
Ir3 0.000 0.967 0.507
Ir4 0.500 0.468 0.508
Te1 0.000 0.862 0.127
Te2 0.500 0.362 0.128
Te3 0.500 0.797 0.387
Te4 0.000 0.297 0.387
Te5 0.500 0.138 0.627
Te6 0.000 0.638 0.628
Te7 0.000 0.203 0.887
Te8 0.500 0.703 0.887

---

[5]
Below is a geometry-optimized Te3Ir2 structure, with properties calculated at the PBE level.

## Properties
Spin magnetization   0.01 μB/cell
Symmetry   R-3
Electronic total energy   -5.58 eV per atom

a = 6.869 Å, b = 6.869 Å, c = 6.869 Å
α = 61.24°, β = 61.24°, γ = 61.24°
Atoms (fractional coordinates):
Ir1 0.000 0.000 0.000
Ir2 0.329 0.329 0.329
Ir3 0.500 0.500 0.500
Ir4 0.671 0.671 0.671
Te1 0.412 0.752 0.079
Te2 0.921 0.588 0.248
Te3 0.752 0.079 0.412
Te4 0.248 0.921 0.588
Te5 0.079 0.412 0.752
Te6 0.588 0.248 0.921

---

[6]
Below is a geometry-optimized TeIr124 structure, with properties calculated at the PBE level.

## Properties
Spin magnetization   0.05 μB/cell
Symmetry   Fm-3m
Electronic total energy   -8.79 eV per atom

a = 13.660 Å, b = 13.660 Å, c = 13.660 Å
α = 60.00°, β = 60.00°, γ = 60.00°
Atoms (fractional coordinates):
Ir1 0.204 0.000 0.000
Ir2 0.402 0.000 0.000
Ir3 0.598 0.000 0.000
Ir4 0.796 0.000 0.000
Ir5 0.599 0.200 0.000
Ir6 0.200 0.200 0.000
Ir7 0.400 0.200 0.000
Ir8 0.000 0.204 0.000
Ir9 0.796 0.204 0.000
Ir10 0.400 0.400 0.000
Ir11 0.200 0.400 0.000
Ir12 0.800 0.401 0.000
Ir13 0.000 0.402 0.000
Ir14 0.598 0.402 0.000
Ir15 0.402 0.598 0.000
Ir16 0.000 0.598 0.000
Ir17 0.200 0.599 0.000
Ir18 0.600 0.600 0.000
Ir19 0.800 0.600 0.000
Ir20 0.204 0.796 0.000
Ir21 0.000 0.796 0.000
Ir22 0.600 0.800 0.000
Ir23 0.800 0.800 0.000
Ir24 0.401 0.800 0.000
Ir25 0.800 0.200 0.200
Ir26 0.200 0.800 0.200
Ir27 0.800 0.800 0.200
Ir28 0.600 0.600 0.200
Ir29 0.400 0.200 0.200
Ir30 0.200 0.400 0.200
Ir31 0.200 0.200 0.200
Ir32 0.600 0.400 0.200
Ir33 0.400 0.600 0.200
Ir34 0.800 0.400 0.200
Ir35 0.400 0.800 0.200
Ir36 0.800 0.600 0.200
Ir37 0.600 0.800 0.200
Ir38 0.599 0.000 0.200
Ir39 0.599 0.200 0.200
Ir40 0.000 0.599 0.200
Ir41 0.200 0.599 0.200
Ir42 0.200 0.000 0.200
Ir43 0.000 0.200 0.200
Ir44 0.400 0.000 0.200
Ir45 0.000 0.400 0.200
Ir46 0.400 0.400 0.200
Ir47 0.000 0.000 0.204
Ir48 0.796 0.000 0.204
Ir49 0.000 0.796 0.204
Ir50 0.200 0.000 0.400
Ir51 0.000 0.200 0.400
Ir52 0.400 0.000 0.400
Ir53 0.400 0.200 0.400
Ir54 0.000 0.400 0.400
Ir55 0.200 0.400 0.400
Ir56 0.200 0.200 0.400
Ir57 0.600 0.200 0.400
Ir58 0.200 0.600 0.400
Ir59 0.800 0.200 0.400
Ir60 0.200 0.800 0.400
Ir61 0.800 0.600 0.400
Ir62 0.600 0.800 0.400
Ir63 0.400 0.400 0.400
Ir64 0.800 0.400 0.400
Ir65 0.400 0.800 0.400
Ir66 0.600 0.400 0.400
Ir67 0.400 0.600 0.400
Ir68 0.600 0.600 0.400
Ir69 0.800 0.000 0.401
Ir70 0.000 0.800 0.401
Ir71 0.800 0.800 0.401
Ir72 0.000 0.000 0.402
Ir73 0.598 0.000 0.402
Ir74 0.000 0.598 0.402
Ir75 0.402 0.000 0.598
Ir76 0.000 0.402 0.598
Ir77 0.000 0.000 0.598
Ir78 0.200 0.200 0.599
Ir79 0.200 0.000 0.599
Ir80 0.000 0.200 0.599
Ir81 0.400 0.400 0.600
Ir82 0.600 0.400 0.600
Ir83 0.400 0.600 0.600
Ir84 0.600 0.200 0.600
Ir85 0.200 0.600 0.600
Ir86 0.600 0.600 0.600
Ir87 0.400 0.200 0.600
Ir88 0.200 0.400 0.600
Ir89 0.800 0.400 0.600
Ir90 0.400 0.800 0.600
Ir91 0.800 0.200 0.600
Ir92 0.200 0.800 0.600
Ir93 0.800 0.800 0.600
Ir94 0.600 0.000 0.600
Ir95 0.800 0.000 0.600
Ir96 0.000 0.600 0.600
Ir97 0.800 0.600 0.600
Ir98 0.000 0.800 0.600
Ir99 0.600 0.800 0.600
Ir100 0.204 0.000 0.796
Ir101 0.000 0.204 0.796
Ir102 0.000 0.000 0.796
Ir103 0.600 0.600 0.800
Ir104 0.600 0.000 0.800
Ir105 0.000 0.600 0.800
Ir106 0.800 0.000 0.800
Ir107 0.000 0.800 0.800
Ir108 0.800 0.401 0.800
Ir109 0.401 0.800 0.800
Ir110 0.401 0.000 0.800
Ir111 0.000 0.401 0.800
Ir112 0.400 0.200 0.800
Ir113 0.200 0.400 0.800
Ir114 0.600 0.400 0.800
Ir115 0.400 0.600 0.800
Ir116 0.600 0.200 0.800
Ir117 0.200 0.600 0.800
Ir118 0.800 0.800 0.800
Ir119 0.800 0.600 0.800
Ir120 0.600 0.800 0.800
Ir121 0.400 0.400 0.800
Ir122 0.200 0.200 0.800
Ir123 0.800 0.200 0.800
Ir124 0.200 0.800 0.800
Te1 0.000 0.000 0.000